This record from Alexandria describes a relaxed Rb4Pu3MnO12 crystal. The functional is GGA+U.

Output
Calculated volume = 315 Å³/cell
Total moment = 11.0 μB per cell
Final energy = -159.90 eV/f.u.

Cell: 7.4255 7.4255 7.4255 Å, 109.47 109.47 109.47°
Closest atoms and distances in Å follow each position.
Fractional coordinates of all 20 atoms:
1 Rb 0.0000 0.0000 0.5000  12 O 3.03-3.04
2 Rb 0.0000 0.5000 0.0000  12 O 3.03-3.04
3 Rb 0.5000 0.0000 0.0000  12 O 3.03-3.04
4 Rb 0.5000 0.5000 0.5000  12 O 3.03-3.04
5 Pu 0.0000 0.5000 0.5000  6 O 1.97-2.14
6 Pu 0.5000 0.0000 0.5000  6 O 1.97-2.14
7 Pu 0.5000 0.5000 0.0000  6 O 1.97-2.14
8 Mn 0.0000 0.0000 0.0000  6 O 2.31
9 O 0.0000 0.2697 0.2697  1 Pu 1.97
10 O 0.0000 0.7303 0.7303  1 Pu 1.97
11 O 0.2500 0.5000 0.7500  2 Pu 2.14
12 O 0.2500 0.7500 0.5000  2 Pu 2.14
13 O 0.2697 0.0000 0.2697  1 Pu 1.97
14 O 0.2697 0.2697 0.0000  1 Pu 1.97
15 O 0.5000 0.2500 0.7500  2 Pu 2.14
16 O 0.5000 0.7500 0.2500  2 Pu 2.14
17 O 0.7303 0.0000 0.7303  1 Pu 1.97
18 O 0.7303 0.7303 0.0000  1 Pu 1.97
19 O 0.7500 0.2500 0.5000  2 Pu 2.14
20 O 0.7500 0.5000 0.2500  2 Pu 2.14